! RbZrTl2Os, optimized geometry, DFT GGA-PBE; values from VASP
! M_tot ... 0.60 μB/f.u.
! Energy of formation ... 0.779 eV/atom
! E_tot ... -21.6 eV/f.u.
! Space-group type ... No. 123
&SYSTEM
  ibrav = 0, nat = 5, ntyp = 4
/
ATOMIC_SPECIES
Tl 204.38 Tl.upf
Os 190.23 Os.upf
Rb 85.47 Rb.upf
Zr 91.22 Zr.upf
CELL_PARAMETERS angstrom
5.867 0.000 0.000
0.000 4.934 0.000
0.000 0.000 5.867
ATOMIC_POSITIONS crystal
Tl 0.000 0.000 0.500
Tl 0.500 0.000 0.000
Os 0.000 0.500 0.000
Rb 0.500 0.500 0.500
Zr 0.000 0.000 0.000

=====

! YMgSbI2, optimized geometry, DFT GGA-PBE; values from VASP
! M_tot ... 0.00 μB/f.u.
! Formation energy without anion corrections ... -0.339 eV per atom
! Distance to the lowest polymorph of the same formula ... 0 meV/atom
! E_tot ... -17.0 eV/f.u.
! Space-group type ... No. 123
&SYSTEM
  ibrav = 0, nat = 5, ntyp = 4
/
ATOMIC_SPECIES
I 126.90 I.upf
Sb 121.76 Sb.upf
Mg 24.30 Mg.upf
Y 88.91 Y.upf
CELL_PARAMETERS angstrom
-5.829 0.647 -0.400
0.230 -1.444 -5.694
-0.761 -5.948 1.477
ATOMIC_POSITIONS crystal
I 0.000 0.500 0.000
I 0.500 0.000 0.000
Sb 0.000 0.000 0.500
Mg 0.500 0.500 0.500
Y 0.000 0.000 0.000

=====

! WCl6, optimized geometry, DFT GGA-PBE; values from VASP
! M_tot ... 0.00 μB/f.u.
! Formation energy without anion corrections ... -0.853 eV per atom
! E_tot ... -30.0 eV/f.u.
! Space-group type ... No. 148
&SYSTEM
  ibrav = 0, nat = 7, ntyp = 2
/
ATOMIC_SPECIES
Cl 35.45 Cl.upf
W 183.84 W.upf
CELL_PARAMETERS angstrom
7.144 -0.017 -0.012
4.037 5.894 -0.012
4.037 2.122 5.498
ATOMIC_POSITIONS crystal
Cl 0.645 0.210 0.923
Cl 0.210 0.923 0.645
Cl 0.923 0.645 0.210
Cl 0.355 0.790 0.077
Cl 0.790 0.077 0.355
Cl 0.077 0.355 0.790
W 0.000 0.000 0.000

=====

! Tl2CuPdF, optimized geometry, DFT GGA-PBE; values from VASP
! M_tot ... 0.00 μB/f.u.
! Formation energy without anion corrections ... -0.093 eV per atom
! E_tot ... -16.4 eV/f.u.
! Space-group type ... No. 123
&SYSTEM
  ibrav = 0, nat = 5, ntyp = 4
/
ATOMIC_SPECIES
Tl 204.38 Tl.upf
Cu 63.55 Cu.upf
Pd 106.42 Pd.upf
F 19.00 F.upf
CELL_PARAMETERS angstrom
5.471 0.000 0.000
0.000 4.134 0.000
0.000 0.000 5.471
ATOMIC_POSITIONS crystal
Tl 0.000 0.000 0.500
Tl 0.500 0.000 0.000
Cu 0.500 0.500 0.500
Pd 0.000 0.000 0.000
F 0.000 0.500 0.000

=====

! NaIn, optimized geometry, DFT GGA-PBE; values from VASP
! M_tot ... 0.00 μB/f.u.
! Energy of formation ... -0.135 eV/atom
! E_tot ... -4.3 eV/f.u.
! Space-group type ... No. 227
&SYSTEM
  ibrav = 0, nat = 4, ntyp = 2
/
ATOMIC_SPECIES
Na 22.99 Na.upf
In 114.82 In.upf
CELL_PARAMETERS angstrom
5.271 0.000 0.000
2.636 4.565 0.000
2.636 1.522 4.304
ATOMIC_POSITIONS crystal
Na 0.000 0.000 0.000
Na 0.250 0.250 0.250
In 0.500 0.500 0.500
In 0.750 0.750 0.750

=====

! YTmAlTl, optimized geometry, DFT GGA-PBE; values from VASP
! M_tot ... 0.00 μB/f.u.
! Energy of formation ... -0.360 eV/atom
! Distance to the lowest polymorph of the same formula ... 0 meV/atom
! E_tot ... -18.5 eV/f.u.
! Space-group type ... No. 99
&SYSTEM
  ibrav = 0, nat = 4, ntyp = 4
/
ATOMIC_SPECIES
Y 88.91 Y.upf
Tm 168.93 Tm.upf
Al 26.98 Al.upf
Tl 204.38 Tl.upf
CELL_PARAMETERS angstrom
-0.022 -3.290 1.462
0.747 -1.435 -3.216
7.581 0.611 1.488
ATOMIC_POSITIONS crystal
Y 0.000 0.000 0.841
Tm 0.000 0.000 0.372
Al 0.500 0.500 0.603
Tl 0.500 0.500 0.112

=====

! Ca3P2Pt2, optimized geometry, DFT GGA-PBE; values from VASP
! M_tot ... 0.00 μB/f.u.
! Energy of formation ... -1.028 eV/atom
! E_tot ... -36.1 eV/f.u.
! Space-group type ... No. 57
&SYSTEM
  ibrav = 0, nat = 28, ntyp = 3
/
ATOMIC_SPECIES
Ca 40.08 Ca.upf
P 30.97 P.upf
Pt 195.08 Pt.upf
CELL_PARAMETERS angstrom
-1.508 2.668 4.641
1.622 -6.574 4.306
12.083 4.033 1.607
ATOMIC_POSITIONS crystal
Ca 0.119 0.607 0.105
Ca 0.881 0.393 0.605
Ca 0.881 0.107 0.395
Ca 0.119 0.893 0.895
Ca 0.881 0.393 0.895
Ca 0.119 0.607 0.395
Ca 0.119 0.893 0.605
Ca 0.881 0.107 0.105
Ca 0.354 0.234 0.250
Ca 0.646 0.766 0.750
Ca 0.646 0.734 0.250
Ca 0.354 0.266 0.750
P 0.328 0.250 0.000
P 0.672 0.750 0.500
P 0.672 0.750 0.000
P 0.328 0.250 0.500
P 0.842 0.395 0.250
P 0.158 0.605 0.750
P 0.158 0.895 0.250
P 0.842 0.105 0.750
Pt 0.606 0.438 0.091
Pt 0.394 0.562 0.591
Pt 0.394 0.938 0.409
Pt 0.606 0.062 0.909
Pt 0.394 0.562 0.909
Pt 0.606 0.438 0.409
Pt 0.606 0.062 0.591
Pt 0.394 0.938 0.091

=====

! Ce5ThGe5, optimized geometry, DFT GGA-PBE; values from VASP
! M_tot ... 3.38 μB/f.u.
! Energy of formation ... -0.552 eV/atom
! E_tot ... -66.2 eV/f.u.
! Space-group type ... No. 12
&SYSTEM
  ibrav = 0, nat = 11, ntyp = 3
/
ATOMIC_SPECIES
Ce 140.12 Ce.upf
Th 232.04 Th.upf
Ge 72.64 Ge.upf
CELL_PARAMETERS angstrom
-0.277 -5.893 -1.062
1.827 4.014 -5.834
7.091 -1.140 4.473
ATOMIC_POSITIONS crystal
Ce 0.665 0.330 0.333
Ce 0.669 0.337 0.836
Ce 0.000 0.000 0.500
Ce 0.331 0.663 0.164
Ce 0.335 0.670 0.667
Th 0.000 0.000 0.000
Ge 0.832 0.663 0.173
Ge 0.832 0.664 0.660
Ge 0.500 0.000 0.000
Ge 0.168 0.336 0.340
Ge 0.168 0.337 0.827

=====

! TaTcTe2Au, optimized geometry, DFT GGA-PBE; values from VASP
! M_tot ... 1.93 μB/f.u.
! Formation energy without anion corrections ... 1.699 eV per atom
! E_tot ... -23.3 eV/f.u.
! Space-group type ... No. 123
&SYSTEM
  ibrav = 0, nat = 5, ntyp = 4
/
ATOMIC_SPECIES
Te 127.60 Te.upf
Au 196.97 Au.upf
Tc 98.00 Tc.upf
Ta 180.95 Ta.upf
CELL_PARAMETERS angstrom
5.373 0.000 0.000
0.000 5.069 0.000
0.000 0.000 5.373
ATOMIC_POSITIONS crystal
Te 0.000 0.000 0.500
Te 0.500 0.000 0.000
Au 0.000 0.000 0.000
Tc 0.500 0.500 0.500
Ta 0.000 0.500 0.000

=====

! BaMn2Zn, optimized geometry, DFT GGA-PBE; values from VASP
! M_tot ... 7.48 μB/f.u.
! Energy of formation ... 0.486 eV/atom
! E_tot ... -19.6 eV/f.u.
! Space-group type ... No. 6
&SYSTEM
  ibrav = 0, nat = 4, ntyp = 3
/
ATOMIC_SPECIES
Ba 137.33 Ba.upf
Mn 54.94 Mn.upf
Zn 65.41 Zn.upf
CELL_PARAMETERS angstrom
4.367 0.000 0.000
0.000 3.306 0.024
0.000 1.596 6.651
ATOMIC_POSITIONS crystal
Ba 0.500 0.695 0.737
Mn 0.000 0.004 0.116
Mn 0.500 0.452 0.220
Zn 0.000 0.349 0.427

=====

! CrOsRh2, optimized geometry, DFT GGA-PBE; values from VASP
! M_tot ... 0.99 μB/f.u.
! Energy of formation ... 0.060 eV/atom
! Distance to the lowest polymorph of the same formula ... 124 meV/atom
! E_tot ... -35.3 eV/f.u.
! Space-group type ... No. 123
&SYSTEM
  ibrav = 0, nat = 4, ntyp = 3
/
ATOMIC_SPECIES
Cr 52.00 Cr.upf
Os 190.23 Os.upf
Rh 102.91 Rh.upf
CELL_PARAMETERS angstrom
-0.207 0.750 2.564
-1.175 -2.335 0.588
6.820 -3.067 1.447
ATOMIC_POSITIONS crystal
Cr 0.500 0.500 0.250
Os 0.500 0.500 0.750
Rh 0.000 0.000 0.007
Rh 0.000 0.000 0.493

=====

! KCoSn2Cl8, optimized geometry, DFT GGA-PBE; values from VASP
! M_tot ... 0.15 μB/f.u.
! Formation energy without anion corrections ... -0.984 eV per atom
! E_tot ... -42.8 eV/f.u.
! Space-group type ... No. 2
&SYSTEM
  ibrav = 0, nat = 12, ntyp = 4
/
ATOMIC_SPECIES
K 39.10 K.upf
Co 58.93 Co.upf
Sn 118.71 Sn.upf
Cl 35.45 Cl.upf
CELL_PARAMETERS angstrom
7.161 0.111 0.783
0.253 6.077 -0.659
1.121 -0.923 8.332
ATOMIC_POSITIONS crystal
K 0.000 0.000 0.500
Co 0.000 0.000 0.000
Sn 0.389 0.510 0.771
Sn 0.611 0.490 0.229
Cl 0.168 0.783 0.115
Cl 0.720 0.852 0.098
Cl 0.934 0.277 0.235
Cl 0.832 0.217 0.885
Cl 0.280 0.148 0.902
Cl 0.066 0.723 0.765
Cl 0.642 0.723 0.516
Cl 0.358 0.277 0.484

=====

! K3Zr3UTe8, optimized geometry, DFT GGA-PBE; values from VASP
! M_tot ... 3.11 μB/f.u.
! Formation energy without anion corrections ... -0.935 eV per atom
! E_tot ... -79.4 eV/f.u.
! Space-group type ... No. 166
&SYSTEM
  ibrav = 0, nat = 15, ntyp = 4
/
ATOMIC_SPECIES
K 39.10 K.upf
Zr 91.22 Zr.upf
U 238.03 U.upf
Te 127.60 Te.upf
CELL_PARAMETERS angstrom
-6.230 -4.229 3.582
7.793 -2.941 0.371
-1.842 7.661 5.840
ATOMIC_POSITIONS crystal
K 0.000 0.000 0.000
K 0.000 0.500 0.000
K 0.500 0.500 0.000
Zr 0.500 0.000 0.500
Zr 0.500 0.500 0.500
Zr 0.000 0.500 0.500
U 0.000 0.000 0.500
Te 0.265 0.531 0.297
Te 0.735 0.469 0.703
Te 0.756 0.513 0.292
Te 0.244 0.487 0.708
Te 0.756 0.035 0.292
Te 0.244 0.965 0.708
Te 0.279 0.035 0.292
Te 0.721 0.965 0.708

=====

! PrNdTmHg, optimized geometry, DFT GGA-PBE; values from VASP
! M_tot ... 0.00 μB/f.u.
! Energy of formation ... -0.233 eV/atom
! Distance to the lowest polymorph of the same formula ... 0 meV/atom
! E_tot ... -15.3 eV/f.u.
! Space-group type ... No. 99
&SYSTEM
  ibrav = 0, nat = 4, ntyp = 4
/
ATOMIC_SPECIES
Pr 140.91 Pr.upf
Nd 144.24 Nd.upf
Tm 168.93 Tm.upf
Hg 200.59 Hg.upf
CELL_PARAMETERS angstrom
3.695 0.000 0.000
0.000 3.695 0.000
0.000 0.000 8.930
ATOMIC_POSITIONS crystal
Pr 0.000 0.000 0.082
Nd 0.500 0.500 0.791
Tm 0.500 0.500 0.359
Hg 0.000 0.000 0.552

=====

! CaMgI, optimized geometry, DFT GGA-PBE; values from VASP
! M_tot ... 0.00 μB/f.u.
! Formation energy without anion corrections ... -0.477 eV per atom
! E_tot ... -6.6 eV/f.u.
! Space-group type ... No. 38
&SYSTEM
  ibrav = 0, nat = 6, ntyp = 3
/
ATOMIC_SPECIES
Mg 24.30 Mg.upf
I 126.90 I.upf
Ca 40.08 Ca.upf
CELL_PARAMETERS angstrom
4.054 0.000 0.000
-2.027 3.529 0.000
0.000 0.000 16.119
ATOMIC_POSITIONS crystal
Mg 0.599 0.197 0.000
Mg 0.349 0.698 0.500
I 0.596 0.191 0.294
I 0.596 0.191 0.706
Ca 0.264 0.527 0.834
Ca 0.264 0.527 0.166

=====

! TlCuSn, optimized geometry, DFT GGA-PBE; values from VASP
! M_tot ... 0.00 μB/f.u.
! Energy of formation ... 0.223 eV/atom
! E_tot ... -9.8 eV/f.u.
! Space-group type ... No. 62
&SYSTEM
  ibrav = 0, nat = 12, ntyp = 3
/
ATOMIC_SPECIES
Tl 204.38 Tl.upf
Sn 118.71 Sn.upf
Cu 63.55 Cu.upf
CELL_PARAMETERS angstrom
-2.221 9.314 5.549
-3.358 -3.202 4.030
3.355 -0.587 2.329
ATOMIC_POSITIONS crystal
Tl 0.000 0.000 0.000
Tl 0.500 0.500 0.500
Tl 0.500 0.000 0.500
Tl 0.000 0.500 0.000
Sn 0.296 0.250 0.006
Sn 0.204 0.750 0.506
Sn 0.704 0.750 0.994
Sn 0.796 0.250 0.494
Cu 0.642 0.250 0.993
Cu 0.858 0.750 0.493
Cu 0.358 0.750 0.007
Cu 0.142 0.250 0.507

=====

! RbMg2Al2, optimized geometry, DFT GGA-PBE; values from VASP
! M_tot ... 0.00 μB/f.u.
! Energy of formation ... 0.152 eV/atom
! Distance to the lowest polymorph of the same formula ... 0 meV/atom
! E_tot ... -10.9 eV/f.u.
! Space-group type ... No. 127
&SYSTEM
  ibrav = 0, nat = 10, ntyp = 3
/
ATOMIC_SPECIES
Mg 24.30 Mg.upf
Al 26.98 Al.upf
Rb 85.47 Rb.upf
CELL_PARAMETERS angstrom
-2.099 -7.852 -4.252
-2.220 -3.772 8.061
-2.838 0.943 -0.340
ATOMIC_POSITIONS crystal
Mg 0.368 0.868 0.000
Mg 0.868 0.632 0.000
Mg 0.632 0.132 0.000
Mg 0.132 0.368 0.000
Al 0.156 0.656 0.500
Al 0.656 0.844 0.500
Al 0.844 0.344 0.500
Al 0.344 0.156 0.500
Rb 0.000 0.000 0.000
Rb 0.500 0.500 0.000

=====

! YScTlSn, optimized geometry, DFT GGA-PBE; values from VASP
! M_tot ... 0.00 μB/f.u.
! Energy of formation ... -0.403 eV/atom
! E_tot ... -20.8 eV/f.u.
! Space-group type ... No. 216
&SYSTEM
  ibrav = 0, nat = 4, ntyp = 4
/
ATOMIC_SPECIES
Y 88.91 Y.upf
Sc 44.96 Sc.upf
Tl 204.38 Tl.upf
Sn 118.71 Sn.upf
CELL_PARAMETERS angstrom
-3.943 2.916 -1.837
-2.184 -1.158 -4.617
-4.849 -1.969 -0.182
ATOMIC_POSITIONS crystal
Y 0.000 0.000 0.000
Sc 0.500 0.500 0.500
Tl 0.750 0.750 0.750
Sn 0.250 0.250 0.250

=====

! BeAlFe2, optimized geometry, DFT GGA-PBE; values from VASP
! M_tot ... 3.88 μB/f.u.
! Energy of formation ... -0.186 eV/atom
! E_tot ... -25.1 eV/f.u.
! Space-group type ... No. 123
&SYSTEM
  ibrav = 0, nat = 4, ntyp = 3
/
ATOMIC_SPECIES
Be 9.01 Be.upf
Fe 55.84 Fe.upf
Al 26.98 Al.upf
CELL_PARAMETERS angstrom
3.542 0.000 0.000
0.000 3.539 0.000
0.000 0.000 3.565
ATOMIC_POSITIONS crystal
Be 0.000 0.500 0.500
Fe 0.000 0.000 0.000
Fe 0.500 0.500 0.000
Al 0.500 0.000 0.500

=====

! Sr8CdCu2, optimized geometry, DFT GGA-PBE; values from VASP
! M_tot ... 0.00 μB/f.u.
! Energy of formation ... -0.016 eV/atom
! E_tot ... -22.7 eV/f.u.
! Space-group type ... No. 8
&SYSTEM
  ibrav = 0, nat = 11, ntyp = 3
/
ATOMIC_SPECIES
Sr 87.62 Sr.upf
Cd 112.41 Cd.upf
Cu 63.55 Cu.upf
CELL_PARAMETERS angstrom
6.385 0.168 -1.004
-2.024 7.954 -3.256
0.086 -0.018 8.829
ATOMIC_POSITIONS crystal
Sr 0.578 0.334 0.072
Sr 0.578 0.072 0.334
Sr 0.188 0.378 0.378
Sr 0.989 0.237 0.766
Sr 0.989 0.766 0.237
Sr 0.799 0.630 0.630
Sr 0.398 0.934 0.669
Sr 0.398 0.669 0.934
Cd 0.096 0.005 0.005
Cu 0.493 0.693 0.314
Cu 0.493 0.314 0.693